This record from the Alexandria database describes Sm6Y after structural relaxation. The functional is PBE.

## Properties
- E_form: 1303 meV/atom
- V: 264.7 Å³/f.u.
- Energy above the most stable polymorph in this dataset: 1063 meV per atom
- Symmetry: Im-3m (229)
- DOS(E_F): 5.60 states/eV per cell

Structure (extended XYZ):
```
7
Lattice="-3.0376 -6.0875 1.6708 4.9604 1.5054 4.7121 -4.8185 5.0851 -0.0238" Properties=species:S:1:pos:R:3 pbc="T T T"
Sm 0.5517 2.1497 3.9399
Sm 0.9969 -0.6434 4.3636
Sm -1.8930 3.0446 2.7559
Sm -3.4473 -1.6468 2.4193
Sm -3.8925 1.1464 1.9956
Sm -1.0026 -2.5417 3.6032
Y 0.0000 0.0000 0.0000
```



This record from the Alexandria database describes SmY4 after structural relaxation. The functional is PBE.

## Properties
- E_form: 20 meV/atom
- V: 162.2 Å³/f.u.
- Energy above the most stable polymorph in this dataset: 0 meV per atom
- Symmetry: C2/m (12)
- DOS(E_F): 7.47 states/eV per cell

Structure (extended XYZ):
```
5
Lattice="-1.9704 0.4755 -2.9560 0.9464 -1.6078 -3.0603 -8.4657 -11.9319 1.5850" Properties=species:S:1:pos:R:3 pbc="T T T"
Sm 0.0000 0.0000 0.0000
Y -3.5925 -5.0012 -0.5681
Y -5.8972 -8.0629 -3.8632
Y -2.3177 -3.0800 -3.2931
Y -7.1719 -9.9841 -1.1382
```



This record from the Alexandria database describes SmY3 after structural relaxation. The functional is PBE.

## Properties
- E_form: 23 meV/atom
- V: 130.4 Å³/f.u.
- Energy above the most stable polymorph in this dataset: 16 meV per atom
- Symmetry: Pm-3m (221)
- DOS(E_F): 6.05 states/eV per cell

Structure (extended XYZ):
```
4
Lattice="-4.3831 -1.2175 2.2395 -0.8782 -3.4607 -3.6003 2.3930 -3.5001 2.7807" Properties=species:S:1:pos:R:3 pbc="T T T"
Y 0.7574 -3.4804 -0.4098
Y -0.9951 -2.3588 2.5101
Y -2.6307 -2.3391 -0.6804
Sm 0.0000 0.0000 0.0000
```



This record from the Alexandria database describes Sm8Y3 after structural relaxation. The functional is PBE.

## Properties
- E_form: 507 meV/atom
- V: 376.6 Å³/f.u.
- Energy above the most stable polymorph in this dataset: 493 meV per atom
- Symmetry: R-3 (148)
- DOS(E_F): 12.57 states/eV per cell

Structure (extended XYZ):
```
11
Lattice="-2.0146 -1.4667 -6.8174 -1.1235 -7.0930 1.0557 -7.1398 0.5372 1.1921" Properties=species:S:1:pos:R:3 pbc="T T T"
Sm -3.1955 -3.3869 -5.5375
Sm -7.1078 -1.0331 -0.8701
Sm -3.4788 -6.3376 0.2800
Sm -3.9861 -3.1113 -1.7722
Sm -6.2918 -4.9111 -2.7974
Sm -6.7991 -1.6848 -4.8496
Sm -3.1701 -6.9893 -3.6995
Sm -7.0824 -4.6355 0.9679
Y -4.5772 -0.4647 -2.8127
Y -4.1316 -3.2779 1.1239
Y -1.5691 -4.2798 -2.8808
```



This record from the Alexandria database describes SmY4 after structural relaxation. The functional is PBE.

## Properties
- E_form: 663 meV/atom
- V: 179.6 Å³/f.u.
- Energy above the most stable polymorph in this dataset: 643 meV per atom
- Symmetry: Pm-3m (221)
- DOS(E_F): 7.96 states/eV per cell

Structure (extended XYZ):
```
5
Lattice="5.6425 0.0000 0.0000 0.0000 5.6425 0.0000 0.0000 0.0000 5.6425" Properties=species:S:1:pos:R:3 pbc="T T T"
Y 0.0000 0.0000 0.0000
Y 2.8213 0.0000 2.8213
Y 0.0000 2.8213 2.8213
Y 2.8213 2.8213 0.0000
Sm 2.8213 2.8213 2.8213
```



This record from the Alexandria database describes Sm6Y after structural relaxation. The functional is PBE.

## Properties
- E_form: 240 meV/atom
- V: 242.4 Å³/f.u.
- Energy above the most stable polymorph in this dataset: 0 meV per atom
- Symmetry: P4/nbm (125)
- DOS(E_F): 17.77 states/eV per cell

Structure (extended XYZ):
```
14
Lattice="6.5765 0.0000 0.0000 0.0000 6.5765 0.0000 0.0000 0.0000 11.2082" Properties=species:S:1:pos:R:3 pbc="T T T"
Sm 3.2883 3.2883 1.5477
Sm 0.0000 0.0000 1.5477
Sm 0.0000 0.0000 9.6605
Sm 3.2883 3.2883 9.6605
Sm 5.4722 4.3926 4.0453
Sm 2.1839 5.4722 4.0453
Sm 4.3926 1.1044 4.0453
Sm 1.1044 2.1839 4.0453
Sm 4.3926 5.4722 7.1629
Sm 1.1044 4.3926 7.1629
Sm 5.4722 2.1839 7.1629
Sm 2.1839 1.1044 7.1629
Y 3.2883 0.0000 0.0000
Y 0.0000 3.2883 0.0000
```



This record from the Alexandria database describes Sm8Y3 after structural relaxation. The functional is PBE.

## Properties
- E_form: 15 meV/atom
- V: 367.0 Å³/f.u.
- Energy above the most stable polymorph in this dataset: 0 meV per atom
- Symmetry: C2/m (12)
- DOS(E_F): 16.01 states/eV per cell

Structure (extended XYZ):
```
11
Lattice="5.1036 0.0000 0.0000 -2.5518 5.5804 -1.2388 0.0000 -0.6179 13.0237" Properties=species:S:1:pos:R:3 pbc="T T T"
Sm 2.5518 2.4843 0.6226
Sm 0.0000 2.4782 11.1623
Sm 2.5518 0.0042 10.5415
Sm 0.0000 4.9583 1.2433
Sm 2.5518 3.1058 8.6835
Sm 0.0000 1.8567 3.1014
Sm 2.5518 1.2461 5.5758
Sm 0.0000 3.7164 6.2091
Y 0.0000 0.0000 0.0000
Y 2.5518 4.3395 3.7283
Y 0.0000 0.6230 8.0566
```



This record from the Alexandria database describes Sm7Y3 after structural relaxation. The functional is PBE.

## Properties
- E_form: 53 meV/atom
- V: 334.8 Å³/f.u.
- Energy above the most stable polymorph in this dataset: 0 meV per atom
- Symmetry: C2/m (12)
- DOS(E_F): 16.46 states/eV per cell

Structure (extended XYZ):
```
10
Lattice="5.3023 0.0000 -1.6264 -0.7771 6.5775 -2.5334 0.0524 -0.1016 9.6268" Properties=species:S:1:pos:R:3 pbc="T T T"
Sm -0.3886 3.2888 -1.2667
Sm 0.9176 1.2686 2.9915
Sm 3.6599 5.2074 2.4755
Sm 2.0084 0.8472 6.5476
Sm 2.5691 5.6287 -1.0807
Sm 1.6190 4.1417 5.2782
Sm 2.9585 2.3342 0.1888
Y 0.0000 0.0000 0.0000
Y 0.5352 4.5663 1.7447
Y 4.0424 1.9096 3.7222
```



This record from the Alexandria database describes Sm4Y5 after structural relaxation. The functional is PBE.

## Properties
- E_form: 17 meV/atom
- V: 295.7 Å³/f.u.
- Symmetry: C2/m (12)
- DOS(E_F): 13.39 states/eV per cell

Structure (extended XYZ):
```
9
Lattice="-2.2450 -2.2118 -3.9804 -3.9773 -6.4912 2.6029 -7.3503 3.1575 -0.8563" Properties=species:S:1:pos:R:3 pbc="T T T"
Sm -8.3001 -2.9584 -0.1625
Sm -3.1977 0.3143 -1.6115
Sm -11.4985 -2.6459 -1.7745
Sm -5.2733 -2.5849 -2.0721
Y -3.9781 -6.4889 2.6021
Y -6.2252 -0.0610 0.2976
Y -5.1016 -3.2750 1.4498
Y -2.0759 -2.9013 -0.4581
Y -10.3724 -5.8605 -0.6227
```



This record from the Alexandria database describes SmY2 after structural relaxation. The functional is PBE.

## Properties
- E_form: 302 meV/atom
- V: 104.5 Å³/f.u.
- Energy above the most stable polymorph in this dataset: 309 meV per atom
- Symmetry: Fd-3m (227)
- DOS(E_F): 15.49 states/eV per cell

Structure (extended XYZ):
```
6
Lattice="6.6609 0.0000 0.0000 3.3305 5.7685 0.0000 3.3305 1.9228 5.4386" Properties=species:S:1:pos:R:3 pbc="T T T"
Y 4.9957 4.8071 3.3991
Y 6.6609 1.9228 3.3991
Y 8.3262 4.8071 3.3991
Y 6.6609 3.8457 0.6798
Sm 0.0000 0.0000 0.0000
Sm 3.3305 1.9228 1.3597
```